A relaxed Ac3CoO6 crystal, computed with PBE with a Hubbard U.

Lattice parameters (Å, degrees): 5.6645 5.8712 10.6587 90.00 96.75 90.00
Fractional positions:
Ac1 0.5392 0.9564 0.7422
Ac2 0.5000 0.5000 0.0000
Ac3 0.4608 0.0436 0.2578
Ac4 0.0392 0.5436 0.2422
Ac5 0.0000 0.0000 0.5000
Ac6 0.9608 0.4564 0.7578
Co1 0.5000 0.5000 0.5000
Co2 0.0000 0.0000 0.0000
O1 0.7666 0.1984 0.9144
O2 0.6791 0.2531 0.5704
O3 0.6376 0.4115 0.2185
O4 0.3624 0.5885 0.7815
O5 0.3209 0.7469 0.4296
O6 0.2334 0.8016 0.0856
O7 0.2666 0.3016 0.4144
O8 0.1791 0.2469 0.0704
O9 0.1376 0.0885 0.7185
O10 0.8624 0.9115 0.2815
O11 0.8209 0.7531 0.9296
O12 0.7334 0.6984 0.5856

For the polymorph energy (0 for the lowest one), the calculation gives 0.164 eV per atom.